(1)
Crystalline FeTcRu3 at its relaxed geometry, computed with PBE.

It has space group Pm-3m (No. 221), with a = 4.345 Å, b = 4.345 Å, c = 4.345 Å, α = 90.00°, β = 90.00° and γ = 90.00°. The distinct sites, in fractional coordinates, are Fe at (0.000, 0.000, 0.000), Tc at (0.500, 0.500, 0.500) and Ru at (0.000, 0.000, 0.500).

For the energy above the most stable polymorph in this dataset, the calculation gives 0 meV/atom. As for the formation energy: 1.53 eV per atom. As for the magnetization: 0.606 μB per atom.

---

(2)
Crystalline SrMn2Cd at its relaxed geometry, computed with PBE.

It has space group P2/m (No. 10), with a = 3.275 Å, b = 4.687 Å, c = 6.475 Å, α = 90.00°, β = 102.53° and γ = 90.00°. The distinct sites, in fractional coordinates, are Sr at (0.000, 0.000, 0.000), Mn at (0.303, 0.500, 0.682) and Cd at (0.500, 0.000, 0.500).

As for the formation energy: 0.55 eV per atom. As for the magnetization: 1.977 μB per atom.

---

(3)
Crystalline NaSmMgHg at its relaxed geometry, computed with PBE.

It has space group F-43m (No. 216), with a = 7.321 Å, b = 7.321 Å, c = 7.321 Å, α = 90.00°, β = 90.00° and γ = 90.00°. The distinct sites, in fractional coordinates, are Na at (0.000, 0.000, 0.000), Sm at (0.250, 0.250, 0.750), Mg at (0.250, 0.250, 0.250) and Hg at (0.000, 0.000, 0.500).

As for the formation energy: -0.18 eV per atom. As for the magnetization: 0.000 μB per atom.

---

(4)
Crystalline La2Ni7 at its relaxed geometry, computed with PBE.

It has space group R-3m (No. 166, hexagonal axes), with a = 5.0365 Å, b = 5.0365 Å, c = 36.9808 Å, α = 90.00°, β = 90.00° and γ = 120.00°. The distinct sites, in fractional coordinates, are La at (0.0000, 0.0000, 0.0505), La at (0.0000, 0.0000, 0.1463), Ni at (0.0000, 0.0000, 0.2787), Ni at (0.0000, 0.0000, 0.3874), Ni at (0.0000, 0.0000, 0.5000), Ni at (0.0000, 0.5000, 0.0000) and Ni at (0.0008, 0.5004, 0.1084).

As for the formation energy: -0.32 eV per atom. As for the magnetization: 0.112 μB per atom.

---

(5)
Crystalline BaU4Se8 at its relaxed geometry, computed with PBE.

It has space group C2/m (No. 12), with a = 14.289 Å, b = 8.268 Å, c = 10.626 Å, α = 90.00°, β = 131.36° and γ = 90.00°. The distinct sites, in fractional coordinates, are Ba at (0.000, 0.000, 0.000), U at (0.000, 0.254, 0.500), U at (0.238, 0.500, 0.479), Se at (0.006, 0.000, 0.691), Se at (0.022, 0.500, 0.705) and Se at (0.234, 0.239, 0.298).

For the energy above the most stable polymorph in this dataset, the calculation gives 0 meV/atom. The energy relative to the elements, uncorrected is -1.2809 eV per atom. As for the magnetization: 0.769 μB per atom.

---

(6)
Crystalline Rb2HoSnSe4 at its relaxed geometry, computed with PBE.

It has space group I-4 (No. 82), with a = 7.893 Å, b = 7.893 Å, c = 10.071 Å, α = 90.00°, β = 90.00° and γ = 90.00°. The distinct sites, in fractional coordinates, are Rb at (0.000, 0.000, 0.000), Rb at (0.000, 0.500, 0.250), Ho at (0.000, 0.500, 0.750), Sn at (0.000, 0.000, 0.500) and Se at (0.175, 0.249, 0.627).

The energy relative to the elements, uncorrected is -1.0857 eV per atom. As for the magnetization: 0.000 μB per atom.

---

(7)
Crystalline KBe2Al at its relaxed geometry, computed with PBE.

It has space group I4_1/amd (No. 141, origin choice 2), with a = 4.864 Å, b = 4.864 Å, c = 16.029 Å, α = 90.00°, β = 90.00° and γ = 90.00°. The distinct sites, in fractional coordinates, are K at (0.000, 0.250, 0.375), Be at (0.000, 0.000, 0.000) and Al at (0.000, 0.250, 0.875).

As for the formation energy: 0.70 eV per atom. As for the magnetization: 0.000 μB per atom.

---

(8)
Crystalline Zn2FeOs at its relaxed geometry, computed with PBE.

It has space group Pm (No. 6), with a = 2.636 Å, b = 4.327 Å, c = 4.797 Å, α = 90.00°, β = 94.01° and γ = 90.00°. The distinct sites, in fractional coordinates, are Zn at (0.000, 0.000, 0.000), Zn at (0.039, 0.500, 0.712), Fe at (0.596, 0.500, 0.219) and Os at (0.482, 0.000, 0.491).

For the energy above the most stable polymorph in this dataset, the calculation gives 119 meV/atom. As for the formation energy: 0.18 eV per atom. As for the magnetization: 0.703 μB per atom.

---

Q: magnetization of number 7 (KBe2Al)?
A: 0.000 μB per atom

---

Q: magnetization of number 2 (SrMn2Cd)?
A: 1.977 μB per atom

---

Repeat the second record exactly.
Crystalline SrMn2Cd at its relaxed geometry, computed with PBE.

It has space group P2/m (No. 10), with a = 3.275 Å, b = 4.687 Å, c = 6.475 Å, α = 90.00°, β = 102.53° and γ = 90.00°. The distinct sites, in fractional coordinates, are Sr at (0.000, 0.000, 0.000), Mn at (0.303, 0.500, 0.682) and Cd at (0.500, 0.000, 0.500).

As for the formation energy: 0.55 eV per atom. As for the magnetization: 1.977 μB per atom.

---

What did the second record say?
Crystalline SrMn2Cd at its relaxed geometry, computed with PBE.

It has space group P2/m (No. 10), with a = 3.275 Å, b = 4.687 Å, c = 6.475 Å, α = 90.00°, β = 102.53° and γ = 90.00°. The distinct sites, in fractional coordinates, are Sr at (0.000, 0.000, 0.000), Mn at (0.303, 0.500, 0.682) and Cd at (0.500, 0.000, 0.500).

As for the formation energy: 0.55 eV per atom. As for the magnetization: 1.977 μB per atom.